KBa3: optimized geometry, PBE-GGA. Values from VASP.

```
&SYSTEM
  ibrav = 0, nat = 4, ntyp = 2
/
ATOMIC_SPECIES
K 39.10 K.upf
Ba 137.33 Ba.upf
ATOMIC_POSITIONS angstrom
K 0.000 0.000 0.000
Ba -2.630 -2.455 -2.855
Ba 1.486 -3.918 -1.880
Ba 1.004 -0.083 -4.361
CELL_PARAMETERS angstrom
-3.111 1.380 -5.336
5.119 -1.547 -3.385
-3.152 -6.206 3.986
```

Properties
The total energy is -1.62 eV per atom. The calculation puts the relative energy among the computed polymorphs at 20 kJ/mol of formula units. As for the formation energy from the elements: 0.099 eV/atom.